(1)
The following is a DFT calculation (PBE) of a relaxed Th3Tl2Hg4 crystal.

Unit cell a=5.093 b=6.228 c=9.533 alpha=116.75 beta=90.00 gamma=114.13
Sites, in units of the cell vectors:
Th 0.335 0.670 0.329
Th 0.000 0.000 0.000
Th 0.665 0.330 0.671
Hg 0.697 0.394 0.028
Hg 0.970 0.939 0.634
Hg 0.303 0.606 0.972
Hg 0.030 0.061 0.366
Tl 0.367 0.733 0.700
Tl 0.633 0.267 0.300

Results
- D(E_F): 6.7 states/eV/f.u.
- Energy of formation from the pure elements: -1.60 eV per formula unit
- Electronic total energy: -3.311 eV/atom

(2)
The following is a DFT calculation (PBE) of a relaxed Pm2CdBiO6 crystal.

Unit cell a=5.952 b=5.952 c=6.213 alpha=61.38 beta=61.38 gamma=60.00
Sites, in units of the cell vectors:
Pm 0.527 0.527 0.418
Pm 0.027 0.027 0.920
O 0.420 0.695 0.759
O 0.204 0.934 0.251
O 0.934 0.611 0.251
O 0.695 0.126 0.759
O 0.126 0.420 0.759
O 0.611 0.204 0.251
Cd 0.805 0.805 0.585
Bi 0.312 0.312 0.063

Results
- D(E_F): 4.3 states/eV/f.u.
- Electronic total energy: -6.581 eV/atom
- Uncorrected formation energy: -21.8 eV per formula unit

(3)
The following is a DFT calculation (PBE) of a relaxed LiZrTlIn crystal.

Unit cell a=4.188 b=4.485 c=4.534 alpha=90.00 beta=90.00 gamma=90.00
Sites, in units of the cell vectors:
In 0.000 0.000 0.000
Tl 0.000 0.500 0.500
Li 0.500 0.000 0.500
Zr 0.500 0.500 0.000

Results
- D(E_F): 1.7 states/eV/f.u.
- Energy of formation from the pure elements: -0.81 eV per formula unit
- Electronic total energy: -4.094 eV/atom
- Energy above the lowest structure with this stoichiometry: 0.0000 eV per atom